The following is a PBE calculation of an optimized crystal structure of Na2In3Sn, from the Alexandria database.

Its total energy is -2.60 eV per atom. The formation energy comes out at -0.123 eV/atom. The calculation puts the size of the total moment at 0.00 μB per atom. The density of states at the Fermi level comes out at 6.2 states/eV per cell. The space-group type is No. 69.

Lattice parameters (Å, degrees): 6.272 6.272 10.400 115.16 115.16 65.78
Sites, in units of the cell vectors:
Na1 0.251 0.749 0.000
Na2 0.749 0.251 0.000
Na3 0.250 0.750 0.500
Na4 0.750 0.250 0.500
In1 0.333 0.333 0.166
In2 0.667 0.667 0.834
In3 0.834 0.834 0.166
In4 0.166 0.166 0.332
In5 0.166 0.166 0.834
In6 0.834 0.834 0.668
Sn1 0.666 0.666 0.333
Sn2 0.334 0.334 0.667



The following is a PBE calculation of an optimized crystal structure of Na2In2Sn, from the Alexandria database.

Its total energy is -2.54 eV per atom. The formation energy comes out at -0.118 eV/atom. The calculation puts the size of the total moment at 0.00 μB per atom. The density of states at the Fermi level comes out at 4.0 states/eV per cell. The space-group type is No. 15.

Lattice parameters (Å, degrees): 6.015 6.466 8.515 109.50 90.00 117.72
Sites, in units of the cell vectors:
Na1 0.551 0.391 0.147
Na2 0.449 0.609 0.853
Na3 0.839 0.391 0.647
Na4 0.161 0.609 0.353
In1 0.730 0.807 0.555
In2 0.077 0.807 0.055
In3 0.923 0.193 0.945
In4 0.270 0.193 0.445
Sn1 0.288 0.000 0.750
Sn2 0.712 0.000 0.250



The following is a PBE calculation of an optimized crystal structure of NaIn2Sn, from the Alexandria database.

Its total energy is -2.70 eV per atom. The formation energy comes out at 0.005 eV/atom. The calculation puts the size of the total moment at 0.00 μB per atom. The density of states at the Fermi level comes out at 1.7 states/eV per cell. The space-group type is No. 71.

Lattice parameters (Å, degrees): 7.327 7.327 7.327 52.28 154.81 134.98
Sites, in units of the cell vectors:
Na1 0.000 0.000 0.000
In1 0.000 0.726 0.726
In2 0.000 0.274 0.274
Sn1 0.000 0.500 0.500



The following is a PBE calculation of an optimized crystal structure of Na3In2Sn5, from the Alexandria database.

Its total energy is -2.98 eV per atom. The formation energy comes out at -0.033 eV/atom. The calculation puts the size of the total moment at 0.00 μB per atom. The density of states at the Fermi level comes out at 7.4 states/eV per cell. The space-group type is No. 72.

Lattice parameters (Å, degrees): 6.716 10.302 10.302 74.84 70.98 70.98
Sites, in units of the cell vectors:
Sn1 0.467 0.783 0.783
Sn2 0.357 0.757 0.529
Sn3 0.250 0.500 0.500
Sn4 0.967 0.783 0.783
Sn5 0.643 0.243 0.471
Sn6 0.533 0.217 0.217
Sn7 0.750 0.500 0.500
Sn8 0.143 0.471 0.243
Sn9 0.857 0.529 0.757
Sn10 0.033 0.217 0.217
Na1 0.870 0.865 0.394
Na2 0.750 0.000 0.000
Na3 0.630 0.606 0.135
Na4 0.370 0.394 0.865
Na5 0.250 0.000 0.000
Na6 0.130 0.135 0.606
In1 0.394 0.946 0.267
In2 0.606 0.054 0.733
In3 0.106 0.733 0.054
In4 0.894 0.267 0.946



The following is a PBE calculation of an optimized crystal structure of Na3In2Sn, from the Alexandria database.

Its total energy is -2.39 eV per atom. The formation energy comes out at -0.153 eV/atom. The calculation puts the size of the total moment at 0.00 μB per atom. The density of states at the Fermi level comes out at 4.0 states/eV per cell. The space-group type is No. 11.

Lattice parameters (Å, degrees): 5.191 6.834 9.531 107.21 90.00 90.00
Sites, in units of the cell vectors:
In1 0.750 0.439 0.807
In2 0.250 0.561 0.193
In3 0.750 0.116 0.496
In4 0.250 0.884 0.504
Na1 0.250 0.182 0.869
Na2 0.250 0.105 0.232
Na3 0.250 0.423 0.579
Na4 0.750 0.895 0.768
Na5 0.750 0.818 0.131
Na6 0.750 0.577 0.421
Sn1 0.250 0.703 0.907
Sn2 0.750 0.297 0.093



The following is a PBE calculation of an optimized crystal structure of Na4In2Sn5, from the Alexandria database.

Its total energy is -2.93 eV per atom. The formation energy comes out at -0.136 eV/atom. The calculation puts the size of the total moment at 0.00 μB per atom. The density of states at the Fermi level comes out at 4.6 states/eV per cell. The space-group type is No. 10.

Lattice parameters (Å, degrees): 3.230 8.281 10.964 93.94 90.00 90.00
Sites, in units of the cell vectors:
Na1 0.500 0.304 0.444
Na2 0.500 0.158 0.902
Na3 0.500 0.842 0.098
Na4 0.500 0.696 0.556
Sn1 0.000 0.420 0.714
Sn2 0.000 0.206 0.176
Sn3 0.000 0.580 0.286
Sn4 0.000 0.500 0.000
Sn5 0.000 0.794 0.824
In1 0.000 0.947 0.365
In2 0.000 0.053 0.635



The following is a PBE calculation of an optimized crystal structure of NaIn2Sn, from the Alexandria database.

Its total energy is -2.77 eV per atom. The formation energy comes out at -0.068 eV/atom. The calculation puts the size of the total moment at 0.00 μB per atom. The density of states at the Fermi level comes out at 2.0 states/eV per cell. The space-group type is No. 65.

Lattice parameters (Å, degrees): 3.143 6.405 6.405 122.97 90.00 90.00
Sites, in units of the cell vectors:
Na1 0.000 0.000 0.000
In1 0.500 0.000 0.500
In2 0.500 0.500 0.000
Sn1 0.500 0.500 0.500



The following is a PBE calculation of an optimized crystal structure of Na12In7Sn, from the Alexandria database.

Its total energy is -2.03 eV per atom. The formation energy comes out at -0.084 eV/atom. The calculation puts the size of the total moment at 0.00 μB per atom. The density of states at the Fermi level comes out at 7.5 states/eV per cell. The space-group type is No. 148.

Lattice parameters (Å, degrees): 8.561 8.561 8.561 102.39 102.39 102.39
Sites, in units of the cell vectors:
Na1 0.501 0.239 0.761
Na2 0.761 0.239 0.499
Na3 0.672 0.675 0.919
Na4 0.919 0.672 0.675
Na5 0.328 0.325 0.081
Na6 0.761 0.501 0.239
Na7 0.081 0.328 0.325
Na8 0.239 0.499 0.761
Na9 0.325 0.081 0.328
Na10 0.239 0.761 0.501
Na11 0.675 0.919 0.672
Na12 0.499 0.761 0.239
In1 0.097 0.096 0.680
In2 0.904 0.320 0.903
In3 0.903 0.904 0.320
In4 0.500 0.500 0.500
In5 0.680 0.097 0.096
In6 0.320 0.903 0.904
In7 0.096 0.680 0.097
Sn1 0.000 0.000 0.000



The following is a PBE calculation of an optimized crystal structure of NaIn4Sn, from the Alexandria database.

Its total energy is -2.76 eV per atom. The formation energy comes out at -0.047 eV/atom. The calculation puts the size of the total moment at 0.00 μB per atom. The density of states at the Fermi level comes out at 4.1 states/eV per cell. The space-group type is No. 63.

Lattice parameters (Å, degrees): 5.488 6.337 9.833 71.20 89.99 89.98
Sites, in units of the cell vectors:
In1 0.750 0.958 0.582
In2 0.750 0.291 0.918
In3 0.250 0.540 0.418
In4 0.750 0.790 0.918
In5 0.750 0.460 0.582
In6 0.250 0.709 0.082
In7 0.250 0.042 0.418
In8 0.250 0.210 0.082
Sn1 0.750 0.383 0.234
Sn2 0.250 0.617 0.766
Na1 0.750 0.874 0.251
Na2 0.250 0.126 0.749



The following is a PBE calculation of an optimized crystal structure of Na3In7Sn2, from the Alexandria database.

Its total energy is -2.63 eV per atom. The formation energy comes out at -0.037 eV/atom. The calculation puts the size of the total moment at 0.00 μB per atom. The density of states at the Fermi level comes out at 5.7 states/eV per cell. The space-group type is No. 166.

Lattice parameters (Å, degrees): 6.310 6.310 10.895 73.17 73.17 60.00
Sites, in units of the cell vectors:
In1 0.591 0.077 0.740
In2 0.409 0.923 0.260
In3 0.500 0.500 0.500
In4 0.591 0.591 0.740
In5 0.409 0.409 0.260
In6 0.077 0.591 0.740
In7 0.923 0.409 0.260
Na1 0.000 0.000 0.000
Na2 0.859 0.859 0.422
Na3 0.141 0.141 0.578
Sn1 0.338 0.338 0.985
Sn2 0.662 0.662 0.015



The following is a PBE calculation of an optimized crystal structure of NaInSn4, from the Alexandria database.

Its total energy is -3.33 eV per atom. The formation energy comes out at 0.011 eV/atom. The calculation puts the size of the total moment at 0.00 μB per atom. The density of states at the Fermi level comes out at 4.2 states/eV per cell. The space-group type is No. 216.

Lattice parameters (Å, degrees): 6.286 6.286 6.286 60.00 60.00 60.00
Sites, in units of the cell vectors:
Sn1 0.625 0.625 0.625
Sn2 0.625 0.625 0.125
Sn3 0.625 0.125 0.625
Sn4 0.125 0.625 0.625
In1 0.000 0.000 0.000
Na1 0.250 0.250 0.250



The following is a PBE calculation of an optimized crystal structure of Na8InSn2, from the Alexandria database.

Its total energy is -1.98 eV per atom. The formation energy comes out at -0.042 eV/atom. The calculation puts the size of the total moment at 0.00 μB per atom. The density of states at the Fermi level comes out at 3.5 states/eV per cell. The space-group type is No. 12.

Lattice parameters (Å, degrees): 5.662 7.078 9.376 111.74 107.04 91.34
Sites, in units of the cell vectors:
Sn1 0.676 0.676 0.352
Sn2 0.324 0.324 0.648
Na1 0.168 0.379 0.287
Na2 0.118 0.908 0.287
Na3 0.276 0.585 0.000
Na4 0.882 0.092 0.713
Na5 0.301 0.801 0.601
Na6 0.832 0.621 0.713
Na7 0.699 0.199 0.399
Na8 0.724 0.415 0.000
In1 0.500 0.000 0.000